Density functional theory data (PBE-GGA) for crystalline CsGa2Au3 at its relaxed geometry. Values from VASP.

Quantum ESPRESSO input file:
```
&SYSTEM
  ibrav = 0, nat = 24, ntyp = 3
/
ATOMIC_SPECIES
Au 196.97 Au.upf
Cs 132.91 Cs.upf
Ga 69.72 Ga.upf
ATOMIC_POSITIONS angstrom
Au 13.636 4.345 0.550
Au 9.824 1.448 0.865
Au 10.821 4.345 1.487
Au 3.972 4.345 2.122
Au 2.975 1.448 2.743
Au 6.787 4.345 3.058
Au 6.910 1.448 4.158
Au 10.722 4.345 4.474
Au 9.726 1.448 5.095
Au 2.877 1.448 5.730
Au 3.874 4.345 6.351
Au 0.061 1.448 6.667
Cs 5.880 1.448 0.678
Cs 12.729 1.448 2.930
Cs 0.969 4.345 4.286
Cs 7.817 4.345 6.539
Ga 2.126 0.008 0.690
Ga 2.126 2.888 0.690
Ga 8.975 0.008 2.919
Ga 8.975 2.888 2.919
Ga 4.723 2.904 4.298
Ga 4.723 5.785 4.298
Ga 11.571 2.904 6.527
Ga 11.571 5.785 6.527
CELL_PARAMETERS angstrom
13.698 0.000 0.000
0.000 5.793 0.000
0.000 0.000 7.217
```

Computed properties:
**Uncorrected energy**: -74.7 eV per cell
**Space group**: Pnma
**Density**: 10.01 g/cm3

Density functional theory data (PBE-GGA) for crystalline CsSrAg at its relaxed geometry. Values from VASP.

Quantum ESPRESSO input file:
```
&SYSTEM
  ibrav = 0, nat = 3, ntyp = 3
/
ATOMIC_SPECIES
Ag 107.87 Ag.upf
Cs 132.91 Cs.upf
Sr 87.62 Sr.upf
ATOMIC_POSITIONS angstrom
Ag -1.923 -1.253 2.809
Cs 0.000 0.000 0.000
Sr -5.770 -3.760 8.427
CELL_PARAMETERS angstrom
-0.228 -4.116 4.254
-2.246 1.352 5.313
-5.220 -2.249 1.669
```

Computed properties:
**Energy above the lowest structure with this stoichiometry**: 450 meV per atom
**Uncorrected energy**: -3.7 eV per cell
**Space group**: F-43m
**Density**: 3.71 g/cm3

Density functional theory data (PBE-GGA) for crystalline HoEr2Al3Ni3 at its relaxed geometry. Values from VASP.

Quantum ESPRESSO input file:
```
&SYSTEM
  ibrav = 0, nat = 9, ntyp = 4
/
ATOMIC_SPECIES
Al 26.98 Al.upf
Er 167.26 Er.upf
Ho 164.93 Ho.upf
Ni 58.69 Ni.upf
ATOMIC_POSITIONS angstrom
Al 1.942 4.564 4.273
Al 1.942 0.000 5.276
Al 1.942 -4.564 4.273
Er 0.000 3.496 2.020
Er 0.000 -3.496 2.020
Ho 0.000 0.000 2.876
Ni 1.942 2.000 3.457
Ni 1.942 -2.000 3.457
Ni 0.000 0.000 6.907
CELL_PARAMETERS angstrom
3.885 0.000 0.000
0.000 5.983 3.456
0.000 -5.983 3.456
```

Computed properties:
**Uncorrected energy**: -47.3 eV per cell
**Space group**: Amm2
**Density**: 7.82 g/cm3

Density functional theory data (PBE-GGA) for crystalline Al2ZnRe2 at its relaxed geometry. Values from VASP.

Quantum ESPRESSO input file:
```
&SYSTEM
  ibrav = 0, nat = 10, ntyp = 3
/
ATOMIC_SPECIES
Al 26.98 Al.upf
Re 186.21 Re.upf
Zn 65.41 Zn.upf
ATOMIC_POSITIONS angstrom
Al 1.420 -0.250 1.534
Al 16.321 -2.875 17.632
Al 4.747 -2.448 4.231
Al 3.154 -1.386 5.878
Re 3.124 -0.550 3.375
Re 14.616 -2.574 15.791
Re 0.312 -1.666 -0.560
Re -1.281 -0.605 1.087
Zn 6.236 -1.098 6.737
Zn 11.505 -2.026 12.429
CELL_PARAMETERS angstrom
10.463 -2.624 7.936
7.278 -0.501 11.230
-9.840 -0.709 -9.056
```

Computed properties:
**Uncorrected energy**: -64.7 eV per cell
**Space group**: I4/mmm
**Density**: 9.74 g/cm3

Density functional theory data (PBE-GGA) for crystalline RbSmPbS3 at its relaxed geometry. Values from VASP.

Quantum ESPRESSO input file:
```
&SYSTEM
  ibrav = 0, nat = 12, ntyp = 4
/
ATOMIC_SPECIES
Pb 207.20 Pb.upf
Rb 85.47 Rb.upf
S 32.06 S.upf
Sm 150.36 Sm.upf
ATOMIC_POSITIONS angstrom
Pb 2.065 -1.908 2.922
Pb 2.065 1.908 8.766
Rb 2.065 2.861 2.922
Rb 2.065 -2.861 8.766
S 2.065 -1.870 0.062
S 2.065 8.733 2.922
S 2.065 -1.870 5.782
S 2.065 1.870 5.905
S 2.065 -8.733 8.766
S 2.065 1.870 11.626
Sm 0.000 0.000 0.000
Sm 0.000 0.000 5.844
CELL_PARAMETERS angstrom
2.065 -8.800 0.000
2.065 8.800 0.000
0.000 0.000 11.687
```

Computed properties:
**Uncorrected energy**: -58.6 eV per cell
**Space group**: Cmcm
**Density**: 4.22 g/cm3

Density functional theory data (PBE-GGA) for crystalline LaHgSb at its relaxed geometry. Values from VASP.

Quantum ESPRESSO input file:
```
&SYSTEM
  ibrav = 0, nat = 3, ntyp = 3
/
ATOMIC_SPECIES
Hg 200.59 Hg.upf
La 138.91 La.upf
Sb 121.76 Sb.upf
ATOMIC_POSITIONS angstrom
Hg 0.000 0.000 0.000
La 1.811 1.811 1.811
Sb 5.432 5.432 5.432
CELL_PARAMETERS angstrom
0.000 3.622 3.622
3.622 0.000 3.622
3.622 3.622 0.000
```

Computed properties:
**Energy above the lowest structure with this stoichiometry**: 0 meV per atom
**Uncorrected energy**: -11.0 eV per cell
**Space group**: F-43m
**Density**: 8.06 g/cm3

Density functional theory data (PBE-GGA) for crystalline GdZnInSe3 at its relaxed geometry. Values from VASP.

Quantum ESPRESSO input file:
```
&SYSTEM
  ibrav = 0, nat = 24, ntyp = 4
/
ATOMIC_SPECIES
Gd 157.25 Gd.upf
In 114.82 In.upf
Se 78.96 Se.upf
Zn 65.41 Zn.upf
ATOMIC_POSITIONS angstrom
Gd 6.385 3.268 0.750
Gd 2.127 3.268 7.460
Gd 6.390 1.089 8.961
Gd 2.131 1.089 15.671
In 3.639 1.089 3.519
In 7.898 1.089 4.692
In 0.619 3.268 11.729
In 4.877 3.268 12.902
Se 3.174 3.268 0.807
Se 0.007 1.089 1.494
Se 5.884 3.268 3.506
Se 1.625 3.268 4.704
Se 4.266 1.089 6.716
Se 7.432 3.268 7.403
Se 1.084 1.089 9.018
Se 4.251 3.268 9.705
Se 6.891 1.089 11.717
Se 2.633 1.089 12.915
Se 8.509 3.268 14.927
Se 5.342 1.089 15.614
Zn 1.207 3.268 2.291
Zn 5.465 3.268 5.920
Zn 3.051 1.089 10.501
Zn 7.310 1.089 14.130
CELL_PARAMETERS angstrom
8.517 0.000 0.000
0.000 4.357 0.000
0.000 0.000 16.421
```

Computed properties:
**Energy above the lowest structure with this stoichiometry**: 106 meV per atom
**Uncorrected energy**: -99.7 eV per cell
**Space group**: Pnma
**Density**: 6.26 g/cm3

Density functional theory data (PBE-GGA) for crystalline HfInTe2AuSe at its relaxed geometry. Values from VASP.

Quantum ESPRESSO input file:
```
&SYSTEM
  ibrav = 0, nat = 12, ntyp = 5
/
ATOMIC_SPECIES
Au 196.97 Au.upf
Hf 178.49 Hf.upf
In 114.82 In.upf
Se 78.96 Se.upf
Te 127.60 Te.upf
ATOMIC_POSITIONS angstrom
Au -3.270 0.744 -0.036
Au -6.367 4.715 1.731
Hf 0.000 0.000 0.000
Hf -3.259 4.022 0.675
In -2.636 0.545 4.213
In -7.001 4.915 -2.518
Se -4.136 1.017 -5.840
Se -5.501 4.442 7.534
Te -2.107 -0.901 -1.859
Te -4.891 2.534 -1.282
Te -4.746 2.925 2.977
Te -7.530 6.361 3.554
CELL_PARAMETERS angstrom
-2.671 -0.942 -7.283
-0.447 -1.643 7.627
-6.519 8.044 1.351
```

Computed properties:
**Uncorrected energy**: -57.5 eV per cell
**Space group**: Cmcm
**Density**: 8.55 g/cm3

Density functional theory data (PBE-GGA) for crystalline LuFeTcAs at its relaxed geometry. Values from VASP.

Quantum ESPRESSO input file:
```
&SYSTEM
  ibrav = 0, nat = 4, ntyp = 4
/
ATOMIC_SPECIES
As 74.92 As.upf
Fe 55.84 Fe.upf
Lu 174.97 Lu.upf
Tc 98.00 Tc.upf
ATOMIC_POSITIONS angstrom
As 0.000 0.000 0.000
Fe 4.853 4.853 4.853
Lu 1.618 1.618 1.618
Tc 3.235 3.235 3.235
CELL_PARAMETERS angstrom
0.000 3.235 3.235
3.235 0.000 3.235
3.235 3.235 0.000
```

Computed properties:
**Energy above the lowest structure with this stoichiometry**: 177 meV per atom
**Uncorrected energy**: -27.2 eV per cell
**Space group**: F-43m
**Density**: 9.90 g/cm3

Density functional theory data (PBE-GGA) for crystalline CuHgSI at its relaxed geometry. Values from VASP.

Quantum ESPRESSO input file:
```
&SYSTEM
  ibrav = 0, nat = 16, ntyp = 4
/
ATOMIC_SPECIES
Cu 63.55 Cu.upf
Hg 200.59 Hg.upf
I 126.90 I.upf
S 32.06 S.upf
ATOMIC_POSITIONS angstrom
Cu 5.881 0.000 2.141
Cu 9.600 0.000 2.141
Cu 0.720 0.000 7.912
Cu 4.440 0.000 7.912
Hg 2.580 2.082 2.215
Hg 0.000 2.082 5.026
Hg 5.160 2.082 5.026
Hg 7.741 2.082 7.837
I 7.741 0.000 0.274
I 7.741 0.000 4.486
I 2.580 0.000 5.567
I 2.580 0.000 9.779
S 0.137 2.082 2.552
S 5.024 2.082 2.552
S 5.297 2.082 7.500
S 10.184 2.082 7.500
CELL_PARAMETERS angstrom
10.321 0.000 0.000
0.000 4.165 0.000
0.000 0.000 10.052
```

Computed properties:
**Energy above the lowest structure with this stoichiometry**: 17 meV per atom
**Uncorrected energy**: -41.6 eV per cell
**Space group**: Pmma
**Density**: 6.50 g/cm3

Density functional theory data (PBE-GGA) for crystalline Hf2ZrNi3As4Pd at its relaxed geometry. Values from VASP.

Quantum ESPRESSO input file:
```
&SYSTEM
  ibrav = 0, nat = 11, ntyp = 5
/
ATOMIC_SPECIES
As 74.92 As.upf
Hf 178.49 Hf.upf
Ni 58.69 Ni.upf
Pd 106.42 Pd.upf
Zr 91.22 Zr.upf
ATOMIC_POSITIONS angstrom
As -0.480 0.927 1.398
As -1.315 3.268 4.503
As 2.833 3.157 3.099
As 1.686 5.213 6.292
Hf -1.647 1.219 6.375
Hf 0.756 1.491 3.909
Ni 1.147 2.887 1.368
Ni 0.195 3.393 6.298
Ni 3.502 5.229 4.254
Pd -2.100 1.120 3.407
Zr 0.747 4.858 3.638
CELL_PARAMETERS angstrom
-3.684 1.117 5.195
2.447 -1.998 2.165
3.864 6.167 1.325
```

Computed properties:
**Energy above the lowest structure with this stoichiometry**: 13 meV per atom
**Uncorrected energy**: -77.3 eV per cell
**Space group**: Pm
**Density**: 9.34 g/cm3

Density functional theory data (PBE-GGA) for crystalline MoN2 at its relaxed geometry. Values from VASP.

Quantum ESPRESSO input file:
```
&SYSTEM
  ibrav = 0, nat = 6, ntyp = 2
/
ATOMIC_SPECIES
Mo 95.94 Mo.upf
N 14.01 N.upf
ATOMIC_POSITIONS angstrom
Mo 1.346 -0.264 -0.094
Mo 0.773 -3.261 0.118
N -0.293 -2.085 1.675
N -0.354 -1.545 -0.735
N -0.792 -4.448 1.157
N -0.854 -3.908 -1.253
CELL_PARAMETERS angstrom
-0.329 -2.829 3.255
-0.817 -3.164 -2.833
2.693 -0.528 -0.187
```

Computed properties:
**Uncorrected energy**: -54.2 eV per cell
**Space group**: P4/mbm
**Density**: 8.00 g/cm3